Record 1
## Sr2Ga4Pd3Pt (PBE)

Data for a relaxed structure of Sr2Ga4Pd3Pt.

a = 4.4539 Å, b = 4.4539 Å, c = 10.3009 Å
α = 90.00°, β = 90.00°, γ = 90.00°
With the nearest neighbours (Å) after each atom.
Positions (direct):
Sr1 0.0000 0.5000 0.2449  2 Pt 3.37, 6 Pd 3.37-3.41, 8 Ga 3.39-3.44
Sr2 0.5000 0.0000 0.7551  2 Pt 3.37, 6 Pd 3.37-3.41, 8 Ga 3.39-3.44
Ga1 0.0000 0.0000 0.5000  4 Pd 2.59
Ga2 0.0000 0.5000 0.8780  3 Pd 2.56-2.57, 2 Pt 2.56
Ga3 0.5000 0.0000 0.1220  3 Pd 2.56-2.57, 2 Pt 2.56
Ga4 0.5000 0.5000 0.5000  4 Pd 2.59
Pd1 0.0000 0.0000 0.0000  4 Ga 2.56
Pd2 0.0000 0.5000 0.6289  5 Ga 2.57-2.59
Pd3 0.5000 0.0000 0.3711  5 Ga 2.57-2.59
Pt1 0.5000 0.5000 0.0000  4 Ga 2.56

Calculated values
Energy relative to the elements (eV/atom): -0.76
Calculated volume (Å³/f.u.): 204.3
VASP energy (eV per atom): -4.47
SG: P-4m2, No. 115
Total moment (Bohr magnetons per cell): 0.000


Record 2
## LiBeOsO5 (PBE)

Data for a relaxed structure of LiBeOsO5.

a = 5.2400 Å, b = 5.2400 Å, c = 7.1249 Å
α = 104.82°, β = 104.82°, γ = 107.59°
With the nearest neighbours (Å) after each atom.
Positions (direct):
Li1 0.1616 0.8384 0.7500  3 O 2.10-2.12
Li2 0.8384 0.1616 0.2500  3 O 2.10-2.12
Be1 0.1929 0.8071 0.2500  4 O 1.63
Be2 0.8071 0.1929 0.7500  4 O 1.63
Os1 0.5000 0.5000 0.0000  6 O 1.86-1.94
Os2 0.5000 0.5000 0.5000  6 O 1.86-1.94
O1 0.1160 0.2618 0.9205  1 Be 1.63
O2 0.1835 0.5665 0.3580  1 Be 1.63
O3 0.2618 0.1160 0.4205  1 Be 1.63
O4 0.4096 0.5904 0.7500  2 Os 1.94, 1 Li 2.10
O5 0.4335 0.8165 0.1420  1 Be 1.63
O6 0.5665 0.1835 0.8580  1 Be 1.63
O7 0.5904 0.4096 0.2500  2 Os 1.94, 1 Li 2.10
O8 0.7382 0.8840 0.5795  1 Be 1.63
O9 0.8165 0.4335 0.6420  1 Be 1.63
O10 0.8840 0.7382 0.0795  1 Be 1.63

Calculated values
Calculated volume (Å³/f.u.): 84.0
VASP energy (eV per atom): -6.73
Formation energy (no corrections) (eV per atom): -1.5175
SG: C2/c, No. 15
Total moment (Bohr magnetons per cell): 1.654


Record 3
## CaTlOs4 (PBE)

Data for a relaxed structure of CaTlOs4.

a = 5.3299 Å, b = 5.3299 Å, c = 5.3299 Å
α = 60.00°, β = 60.00°, γ = 60.00°
With the nearest neighbours (Å) after each atom.
Positions (direct):
Ca1 0.0000 0.0000 0.0000  12 Os 3.13, 4 Tl 3.26
Tl1 0.2500 0.2500 0.2500  12 Os 3.12, 4 Ca 3.26
Os1 0.1254 0.6249 0.6249  6 Os 2.66-2.67
Os2 0.6249 0.1254 0.6249  6 Os 2.66-2.67
Os3 0.6249 0.6249 0.1254  6 Os 2.66-2.67
Os4 0.6249 0.6249 0.6249  6 Os 2.66-2.67

Calculated values
Energy relative to the elements (eV/atom): 0.54
Calculated volume (Å³/f.u.): 107.1
VASP energy (eV per atom): -7.67
SG: F-43m, No. 216
Total moment (Bohr magnetons per cell): 0.004